VASP calculation (GGA-PBE) on a geometry-optimized TlCrOs4 structure.

It has space group F-43m (No. 216), with a = 7.384 Å, b = 7.384 Å, c = 7.384 Å, α = 90.00°, β = 90.00° and γ = 90.00°. Symmetry generates all atoms from Tl at (0.000, 0.000, 0.000), Cr at (0.250, 0.250, 0.750) and Os at (0.124, 0.124, 0.376).

The formation energy comes out at 0.882 eV per atom. The value obtained for the electronic total energy is -0.6323 Ry per atom.

=====

VASP calculation (GGA-PBE) on a geometry-optimized Ac2ErBr structure.

It has space group R-3m (No. 166, hexagonal axes), with a = 3.9125 Å, b = 3.9125 Å, c = 33.6638 Å, α = 90.00°, β = 90.00° and γ = 120.00°. Symmetry generates all atoms from Ac at (0.0000, 0.0000, 0.2443), Er at (0.0000, 0.0000, 0.0000) and Br at (0.0000, 0.0000, 0.5000).

The raw formation energy is -2.04 eV per formula unit. The value obtained for the electronic total energy is -0.3030 Ry per atom.

=====

VASP calculation (GGA-PBE) on a geometry-optimized Cs2BiBr6Cl structure.

It has space group I4/mmm (No. 139), with a = 8.006 Å, b = 8.006 Å, c = 12.679 Å, α = 90.00°, β = 90.00° and γ = 90.00°. Symmetry generates all atoms from Cs at (0.000, 0.500, 0.250), Bi at (0.000, 0.000, 0.000), Br at (0.000, 0.000, 0.223), Br at (0.246, 0.246, 0.000) and Cl at (0.000, 0.000, 0.500).

The raw formation energy is -9.63 eV per formula unit. The value obtained for the electronic total energy is -0.1992 Ry per atom.

=====

VASP calculation (GGA-PBE) on a geometry-optimized Tb3Tl4GeSe8 structure.

It has space group R-3m (No. 166, hexagonal axes), with a = 8.3711 Å, b = 8.3711 Å, c = 22.8471 Å, α = 90.00°, β = 90.00° and γ = 120.00°. Symmetry generates all atoms from Tb at (0.0000, 0.5000, 0.0000), Tl at (0.0000, 0.0000, 0.5000), Tl at (0.0000, 0.5000, 0.5000), Ge at (0.0000, 0.0000, 0.0000), Se at (0.0000, 0.0000, 0.2637) and Se at (0.0069, 0.5034, 0.7343).

The raw formation energy is -17.36 eV per formula unit. The value obtained for the electronic total energy is -0.3363 Ry per atom.

=====

Listing ρ for the structures above in their given order: 16.78; 7.83; 4.04; 7.18 g/cm3.